[1]
! Ag2HgBr | Alexandria | GGA-PBE | relaxed; values from VASP
! Electronic total energy, Ry/atom: -0.134
! Distance to the lowest polymorph of the same formula, kcal/mol of atoms: 3.947
! Formation energy from raw total energies, eV per atom: 0.097
&SYSTEM
  ibrav = 0, nat = 4, ntyp = 3
/
ATOMIC_SPECIES
Br 79.90 Br.upf
Hg 200.59 Hg.upf
Ag 107.87 Ag.upf
ATOMIC_POSITIONS angstrom
Br -2.429 -1.586 2.412
Hg 1.912 -2.880 1.511
Ag 0.000 0.000 0.000
Ag -0.829 -3.289 0.730
CELL_PARAMETERS angstrom
-5.169 -1.996 1.630
3.511 -4.583 -0.171
0.312 -1.177 3.194

=====

[2]
! AgHg2Br4 | Alexandria | GGA-PBE | relaxed; values from VASP
! Electronic total energy, Ry/atom: -0.126
! Distance to the lowest polymorph of the same formula, kcal/mol of atoms: 0.624
! Formation energy from raw total energies, eV per atom: -0.260
&SYSTEM
  ibrav = 0, nat = 7, ntyp = 3
/
ATOMIC_SPECIES
Br 79.90 Br.upf
Hg 200.59 Hg.upf
Ag 107.87 Ag.upf
ATOMIC_POSITIONS angstrom
Br 5.763 5.763 2.812
Br 2.882 2.882 3.906
Br 0.000 2.882 0.000
Br 2.882 0.000 0.000
Hg 5.763 5.763 5.342
Hg 2.882 2.882 1.375
Ag 0.000 0.000 0.000
CELL_PARAMETERS angstrom
5.763 0.000 0.000
0.000 5.763 0.000
2.882 2.882 6.718

=====

[3]
! Ag4HgBr7 | Alexandria | GGA-PBE | relaxed; values from VASP
! Electronic total energy, Ry/atom: -0.165
! Formation energy from raw total energies, eV per atom: -0.292
&SYSTEM
  ibrav = 0, nat = 24, ntyp = 3
/
ATOMIC_SPECIES
Ag 107.87 Ag.upf
Hg 200.59 Hg.upf
Br 79.90 Br.upf
ATOMIC_POSITIONS angstrom
Ag 4.089 6.459 -0.223
Ag 0.000 2.843 5.804
Ag 0.000 6.459 -0.223
Ag 2.045 6.764 6.641
Ag 2.045 9.043 2.843
Ag 4.089 2.843 5.804
Ag 6.134 0.259 2.738
Ag 6.134 2.538 -1.060
Hg 6.134 7.019 4.211
Hg 2.045 2.283 1.370
Br 2.045 9.239 5.544
Br 0.105 3.782 -0.032
Br 6.134 0.063 0.038
Br 8.073 5.519 5.613
Br 4.194 7.550 2.229
Br 2.045 2.194 7.359
Br 3.984 3.782 -0.032
Br 0.105 1.751 3.352
Br 6.134 1.776 7.108
Br 8.073 7.550 2.229
Br 2.045 7.525 -1.527
Br 3.984 1.751 3.352
Br 6.134 7.108 -1.777
Br 4.194 5.519 5.613
CELL_PARAMETERS angstrom
8.178 0.000 0.000
0.000 9.427 -5.170
0.000 -0.126 10.751

=====

[4]
! Ag2Hg2Br | Alexandria | GGA-PBE | relaxed; values from VASP
! Electronic total energy, Ry/atom: -0.116
! Distance to the lowest polymorph of the same formula, kcal/mol of atoms: 0.000
! Formation energy from raw total energies, eV per atom: 0.016
&SYSTEM
  ibrav = 0, nat = 10, ntyp = 3
/
ATOMIC_SPECIES
Br 79.90 Br.upf
Hg 200.59 Hg.upf
Ag 107.87 Ag.upf
ATOMIC_POSITIONS angstrom
Br 0.000 0.000 0.000
Br 3.880 3.880 0.000
Hg 1.282 5.162 1.988
Hg 5.162 6.479 1.988
Hg 6.479 2.598 1.988
Hg 2.598 1.282 1.988
Ag 2.849 6.730 0.000
Ag 6.730 4.912 0.000
Ag 4.912 1.031 0.000
Ag 1.031 2.849 0.000
CELL_PARAMETERS angstrom
7.761 0.000 0.000
0.000 7.761 0.000
0.000 0.000 3.976

=====

Please write out number 3 again, unchanged.
! Ag4HgBr7 | Alexandria | GGA-PBE | relaxed; values from VASP
! Electronic total energy, Ry/atom: -0.165
! Formation energy from raw total energies, eV per atom: -0.292
&SYSTEM
  ibrav = 0, nat = 24, ntyp = 3
/
ATOMIC_SPECIES
Ag 107.87 Ag.upf
Hg 200.59 Hg.upf
Br 79.90 Br.upf
ATOMIC_POSITIONS angstrom
Ag 4.089 6.459 -0.223
Ag 0.000 2.843 5.804
Ag 0.000 6.459 -0.223
Ag 2.045 6.764 6.641
Ag 2.045 9.043 2.843
Ag 4.089 2.843 5.804
Ag 6.134 0.259 2.738
Ag 6.134 2.538 -1.060
Hg 6.134 7.019 4.211
Hg 2.045 2.283 1.370
Br 2.045 9.239 5.544
Br 0.105 3.782 -0.032
Br 6.134 0.063 0.038
Br 8.073 5.519 5.613
Br 4.194 7.550 2.229
Br 2.045 2.194 7.359
Br 3.984 3.782 -0.032
Br 0.105 1.751 3.352
Br 6.134 1.776 7.108
Br 8.073 7.550 2.229
Br 2.045 7.525 -1.527
Br 3.984 1.751 3.352
Br 6.134 7.108 -1.777
Br 4.194 5.519 5.613
CELL_PARAMETERS angstrom
8.178 0.000 0.000
0.000 9.427 -5.170
0.000 -0.126 10.751